Material: BiPbI2N
Method: DFT, SCAN
State: PBEsol geometry

Results
Crystal system ... tetragonal
Total magnetic moment ... 0.00 μB/f.u.

abc: 4.0076 6.1743 6.1743
angles: 90.00 90.00 90.00
Fractional coordinates of all 5 atoms:
1 I 0.0000 0.0000 0.5000
2 I 0.0000 0.5000 0.0000
3 Pb 0.0000 0.0000 0.0000
4 Bi 0.5000 0.5000 0.5000
5 N 0.5000 0.0000 0.0000

=====

Material: BiPtIN2
Method: DFT, SCAN
State: PBEsol geometry

Results
Crystal system ... tetragonal
Total magnetic moment ... 2.32 μB/f.u.

abc: 4.1901 4.1901 5.3599
angles: 90.00 90.00 90.00
Last column: magnetic moment on the atom in μB.
Fractional coordinates of all 5 atoms:
1 Pt 0.0000 0.0000 0.0000  0.32
2 Bi 0.5000 0.5000 0.5000  -0.26
3 N 0.0000 0.5000 0.0000  0.87
4 N 0.5000 0.0000 0.0000  0.87
5 I 0.0000 0.0000 0.5000  0.02

=====

Material: RbBiIN2
Method: DFT, SCAN
State: PBEsol geometry

Results
Crystal system ... tetragonal
Total magnetic moment ... 2.53 μB/f.u.

abc: 4.6505 4.6505 6.4423
angles: 90.00 90.00 90.00
Last column: magnetic moment on the atom in μB.
Fractional coordinates of all 5 atoms:
1 I 0.0000 0.0000 0.5000  -0.01
2 N 0.0000 0.5000 0.0000  0.97
3 N 0.5000 0.0000 0.0000  0.97
4 Bi 0.0000 0.0000 0.0000  -0.21
5 Rb 0.5000 0.5000 0.5000  0.00

=====

Material: BiSIN2
Method: DFT, SCAN
State: PBEsol geometry

Results
Crystal system ... tetragonal
Total magnetic moment ... 2.01 μB/f.u.

abc: 4.2050 4.2050 6.9949
angles: 90.00 90.00 90.00
Last column: magnetic moment on the atom in μB.
Fractional coordinates of all 5 atoms:
1 I 0.0000 0.0000 0.5000  -0.01
2 N 0.5000 0.0000 0.0000  0.77
3 N 0.0000 0.5000 0.0000  0.77
4 S 0.5000 0.5000 0.5000  0.04
5 Bi 0.0000 0.0000 0.0000  -0.20

=====

Material: BiSbIN2
Method: DFT, SCAN
State: PBEsol geometry

Results
Crystal system ... tetragonal
Total magnetic moment ... 2.10 μB/f.u.

abc: 4.3994 4.3994 6.2709
angles: 90.00 90.00 90.00
Last column: magnetic moment on the atom in μB.
Fractional coordinates of all 5 atoms:
1 Sb 0.5000 0.5000 0.5000  0.19
2 Bi 0.0000 0.0000 0.0000  -0.11
3 N 0.5000 0.0000 0.0000  0.64
4 N 0.0000 0.5000 0.0000  0.64
5 I 0.0000 0.0000 0.5000  -0.02

=====

Material: SnBiI2N
Method: DFT, SCAN
State: PBEsol geometry

Results
Crystal system ... tetragonal
Total magnetic moment ... 0.00 μB/f.u.

abc: 3.8407 6.0729 6.0729
angles: 90.00 90.00 90.00
Fractional coordinates of all 5 atoms:
1 N 0.5000 0.0000 0.0000
2 Bi 0.5000 0.5000 0.5000
3 I 0.0000 0.0000 0.5000
4 I 0.0000 0.5000 0.0000
5 Sn 0.0000 0.0000 0.0000

=====

Material: TiBiIN2
Method: DFT, SCAN
State: PBEsol geometry

Results
Crystal system ... tetragonal
Total magnetic moment ... 0.88 μB/f.u.

abc: 4.1586 4.1586 5.3546
angles: 90.00 90.00 90.00
Last column: magnetic moment on the atom in μB.
Fractional coordinates of all 5 atoms:
1 Bi 0.5000 0.5000 0.5000  -0.13
2 N 0.0000 0.5000 0.0000  0.48
3 N 0.5000 0.0000 0.0000  0.48
4 I 0.0000 0.0000 0.5000  0.00
5 Ti 0.0000 0.0000 0.0000  -0.26

=====

Material: TlBiIN2
Method: DFT, SCAN
State: PBEsol geometry

Results
Crystal system ... tetragonal
Total magnetic moment ... 2.14 μB/f.u.

abc: 4.4588 4.4588 5.9610
angles: 90.00 90.00 90.00
Last column: magnetic moment on the atom in μB.
Fractional coordinates of all 5 atoms:
1 N 0.5000 0.0000 0.0000  0.96
2 N 0.0000 0.5000 0.0000  0.96
3 Bi 0.5000 0.5000 0.5000  -0.29
4 I 0.0000 0.0000 0.5000  -0.01
5 Tl 0.0000 0.0000 0.0000  -0.05

=====

Material: BiWIN2
Method: DFT, SCAN
State: PBEsol geometry

Results
Crystal system ... tetragonal
Total magnetic moment ... 0.00 μB/f.u.

abc: 4.1141 4.1141 5.4767
angles: 90.00 90.00 90.00
Fractional coordinates of all 5 atoms:
1 W 0.0000 0.0000 0.0000
2 I 0.0000 0.0000 0.5000
3 Bi 0.5000 0.5000 0.5000
4 N 0.5000 0.0000 0.0000
5 N 0.0000 0.5000 0.0000

=====

Material: ZnBiI2N
Method: DFT, SCAN
State: PBEsol geometry

Results
Crystal system ... tetragonal
Total magnetic moment ... 1.62 μB/f.u.

abc: 3.7017 5.8397 5.8397
angles: 90.00 90.00 90.00
Last column: magnetic moment on the atom in μB.
Fractional coordinates of all 5 atoms:
1 N 0.5000 0.0000 0.0000  1.02
2 I 0.0000 0.0000 0.5000  0.06
3 I 0.0000 0.5000 0.0000  0.06
4 Bi 0.5000 0.5000 0.5000  0.00
5 Zn 0.0000 0.0000 0.0000  0.01

=====

Material: NaBi3I
Method: DFT, SCAN
State: PBEsol geometry

Results
Crystal system ... cubic
Total magnetic moment ... 0.00 μB/f.u.

abc: 5.5160 5.5160 5.5160
angles: 90.00 90.00 90.00
Fractional coordinates of all 5 atoms:
1 Na 0.0000 0.0000 0.0000
2 I 0.5000 0.5000 0.5000
3 Bi 0.5000 0.0000 0.0000
4 Bi 0.0000 0.5000 0.0000
5 Bi 0.0000 0.0000 0.5000

=====

Material: NaBiTe2I
Method: DFT, SCAN
State: PBEsol geometry

Results
Crystal system ... tetragonal
Total magnetic moment ... 0.00 μB/f.u.

abc: 5.4641 5.4463 5.4463
angles: 90.00 90.00 90.00
Fractional coordinates of all 5 atoms:
1 Te 0.0000 0.0000 0.5000
2 Te 0.0000 0.5000 0.0000
3 Bi 0.5000 0.5000 0.5000
4 I 0.5000 0.0000 0.0000
5 Na 0.0000 0.0000 0.0000

=====

Summary of uncorrected formation energy in eV per atom
0.90, 1.48, 0.89, 1.80, 1.70, 0.66, 0.60, 1.79, 1.03, 0.56, 0.69, 0.40
(order as listed above)